# TiNi2SbH, optimized geometry, DFT PBE-GGA
# E_tot (eV for the cell shown): -28.43
data_TiNi2SbH
_cell_length_a 3.867
_cell_length_b 3.867
_cell_length_c 4.029
_cell_angle_alpha 90.00
_cell_angle_beta 90.00
_cell_angle_gamma 90.00
_space_group_name_H-M_alt 'P 4/m m m'
_space_group_IT_number 123
_space_group_name_Hall '-P 4 2'
loop_
_atom_site_label
_atom_site_type_symbol
_atom_site_fract_x
_atom_site_fract_y
_atom_site_fract_z
Ti1 Ti 0.000 0.000 0.000
Ni1 Ni 0.000 0.500 0.500
Sb1 Sb 0.500 0.500 0.000
H1 H 0.000 0.000 0.500

=====

# BaMg2Pt, optimized geometry, DFT PBE-GGA
# E_tot (eV for the cell shown): -12.69
data_BaMg2Pt
_cell_length_a 5.491
_cell_length_b 4.406
_cell_length_c 5.539
_cell_angle_alpha 90.00
_cell_angle_beta 113.04
_cell_angle_gamma 90.00
_space_group_name_H-M_alt 'P 1 2/m 1'
_space_group_IT_number 10
loop_
_space_group_symop_operation_xyz
'x,y,z'
'-x,-y,-z'
'-x,y,-z'
'x,-y,z'
loop_
_atom_site_label
_atom_site_type_symbol
_atom_site_fract_x
_atom_site_fract_y
_atom_site_fract_z
Ba1 Ba 0.000 0.000 0.000
Mg1 Mg 0.338 0.500 0.665
Pt1 Pt 0.500 0.000 0.500

=====

# Pr6YIn5, optimized geometry, DFT PBE-GGA
# E_tot (eV for the cell shown): -107.13
data_Pr6YIn5
_cell_length_a 5.106
_cell_length_b 9.196
_cell_length_c 15.431
_cell_angle_alpha 90.00
_cell_angle_beta 90.00
_cell_angle_gamma 90.00
_space_group_name_H-M_alt 'I m m m'
_space_group_IT_number 71
_space_group_name_Hall '-I 2 2'
loop_
_atom_site_label
_atom_site_type_symbol
_atom_site_fract_x
_atom_site_fract_y
_atom_site_fract_z
Pr1 Pr 0.000 0.233 0.000
Pr2 Pr 0.000 0.261 0.329
Y1 Y 0.000 0.000 0.500
In1 In 0.000 0.000 0.172
In2 In 0.000 0.500 0.152
In3 In 0.000 0.500 0.500

=====

One value per record, in order, for magnetization: 0.0; 0.0; 0.0 Bohr magnetons per cell.